## Sr3NdSm3Se8 (GGA-PBE)

Data for a relaxed Sr3NdSm3Se8 crystal.

POSCAR file:
```
Sr3NdSm3Se8
1.0
8.4785 0.0001 0.0001
-4.2391 7.3424 -0.0263
0.0000 -4.8692 7.1920
Sm Se Sr Nd
3 8 3 1
Direct
0.5000 0.5000 0.5000
0.5000 0.0000 0.5000
0.0000 0.5000 0.5000
0.2466 0.9880 0.7346
0.2466 0.4932 0.7346
0.7534 0.5068 0.2654
0.7414 0.9880 0.7346
0.2586 0.0120 0.2654
0.2545 0.5089 0.2634
0.7534 0.0120 0.2654
0.7455 0.4911 0.7366
0.5000 0.5000 0.0000
0.0000 0.5000 0.0000
0.0000 0.0000 0.0000
0.0000 0.0000 0.5000
```

Computed properties:
E_tot in eV/cell: -80.85
Density of states at the Fermi level in states/eV/f.u.: 5.0
Crystal system: trigonal
Formation energy without anion corrections in meV per atom: -1934